Record 1
Density functional theory data (PBE) for Pm4Ni2Pd after structural relaxation.

a = 7.814 Å, b = 7.814 Å, c = 9.036 Å
α = 125.31°, β = 125.31°, γ = 70.32°
Element x y z (fractional)
Pm 0.047 0.953 0.500
Pm 0.107 0.513 0.621
Pm 0.108 0.512 0.000
Pm 0.512 0.108 0.500
Pm 0.513 0.107 0.121
Pm 0.572 0.667 0.620
Pm 0.667 0.572 0.120
Pm 0.953 0.047 0.000
Ni 0.311 0.810 0.061
Ni 0.810 0.311 0.561
Ni 0.810 0.810 0.060
Ni 0.810 0.810 0.560
Pd 0.184 0.435 0.310
Pd 0.435 0.184 0.810

Space-group type ... Cc

=====

Record 2
Density functional theory data (PBE) for PmNiPd after structural relaxation.

a = 3.522 Å, b = 3.522 Å, c = 9.146 Å
α = 90.00°, β = 90.00°, γ = 90.00°
Element x y z (fractional)
Pm 0.000 0.000 0.000
Pm 0.500 0.500 0.500
Ni 0.000 0.000 0.675
Ni 0.500 0.500 0.175
Pd 0.000 0.000 0.316
Pd 0.500 0.500 0.816

E above lowest polymorph ... 225 meV/atom
Space-group type ... I4mm

=====

Record 3
Density functional theory data (PBE) for Pm3Ni2Pd after structural relaxation.

a = 3.510 Å, b = 3.510 Å, c = 10.575 Å
α = 90.00°, β = 90.00°, γ = 90.00°
Element x y z (fractional)
Pm 0.000 0.000 0.000
Pm 0.000 0.000 0.324
Pm 0.000 0.000 0.676
Ni 0.500 0.500 0.165
Ni 0.500 0.500 0.835
Pd 0.500 0.500 0.500

Space-group type ... P4/mmm

=====

Record 4
Density functional theory data (PBE) for Pm3NiPd2 after structural relaxation.

a = 5.042 Å, b = 5.042 Å, c = 6.181 Å
α = 90.00°, β = 90.00°, γ = 120.00°
Element x y z (fractional)
Pm 0.000 0.000 0.000
Pm 0.333 0.667 0.659
Pm 0.667 0.333 0.341
Ni 0.000 0.000 0.500
Pd 0.333 0.667 0.165
Pd 0.667 0.333 0.835

E above lowest polymorph ... 37 meV/atom
Space-group type ... P-3m1

=====

Record-wise ΔE_f values, in eV per atom: -0.3027; -0.3308; -0.4264; -0.5844